First-principles (PBE) data for Li2AlGaAg2 after structural relaxation, as listed in OQMD.

Summary:
For the uncorrected energy, the calculation gives -0.1074 Ha/atom. As for the crystal system: hexagonal.

Cell: 4.546 4.546 5.525 Å, 90.00 90.00 120.00°
Fractional coordinates of all 6 atoms:
Ag  0.000  0.000  0.500
Al  0.000  0.000  0.000
Li  0.667  0.333  0.252
Ag  0.333  0.667  0.000
Li  0.667  0.333  0.748
Ga  0.333  0.667  0.500

***

First-principles (PBE) data for NbSCl3 after structural relaxation, as listed in OQMD.

Summary:
The value obtained for the relative energy among the computed polymorphs is 6.9 kJ/mol of atoms. As for the crystal system: monoclinic.

Cell: 6.908 6.908 8.245 Å, 124.66 124.66 62.09°
Fractional coordinates of all 10 atoms:
Cl  0.694  0.694  0.167
Nb  0.229  0.771  0.000
S  0.810  0.810  0.836
S  0.190  0.190  0.164
Nb  0.771  0.229  0.000
Cl  0.306  0.306  0.833
Cl  0.758  0.285  0.302
Cl  0.285  0.758  0.302
Cl  0.242  0.715  0.698
Cl  0.715  0.242  0.698

***

First-principles (PBE) data for BeFePd2 after structural relaxation, as listed in OQMD.

Summary:
For the uncorrected energy, the calculation gives -0.2054 Ha/atom. As for the crystal system: cubic.

Cell: 4.205 4.205 4.205 Å, 60.00 60.00 60.00°
Site moments in Bohr magnetons follow the coordinates.
Fractional coordinates of all 4 atoms:
Pd  0.750  0.750  0.750  0.04
Be  0.500  0.500  0.500  -0.07
Pd  0.000  0.000  0.000  0.20
Fe  0.250  0.250  0.250  2.81

***

First-principles (PBE) data for BeFeSnMo after structural relaxation, as listed in OQMD.

Summary:
The value obtained for the relative energy among the computed polymorphs is 0.0 kJ/mol of atoms. As for the crystal system: cubic.

Cell: 4.262 4.262 4.262 Å, 60.00 60.00 60.00°
Fractional coordinates of all 4 atoms:
Fe  0.750  0.750  0.750
Sn  0.000  0.000  0.000
Mo  0.500  0.500  0.500
Be  0.250  0.250  0.250

***

First-principles (PBE) data for CuNiBIr after structural relaxation, as listed in OQMD.

Summary:
The value obtained for the relative energy among the computed polymorphs is 0.0 kJ/mol of atoms. As for the crystal system: cubic.

Cell: 3.957 3.957 3.957 Å, 60.00 60.00 60.00°
Fractional coordinates of all 4 atoms:
B  0.000  0.000  0.000
Cu  0.750  0.750  0.750
Ir  0.250  0.250  0.250
Ni  0.500  0.500  0.500

***

First-principles (PBE) data for CsDySbSe3 after structural relaxation, as listed in OQMD.

Summary:
For the uncorrected energy, the calculation gives -0.1611 Ha/atom. As for the crystal system: orthorhombic.

Cell: 8.631 8.631 11.820 Å, 90.00 90.00 149.59°
Fractional coordinates of all 12 atoms:
Dy  0.500  0.500  0.000
Se  0.498  0.502  0.750
Sb  0.090  0.910  0.250
Se  0.502  0.498  0.250
Se  0.889  0.111  0.991
Sb  0.910  0.090  0.750
Dy  0.500  0.500  0.500
Se  0.889  0.111  0.509
Cs  0.785  0.215  0.250
Se  0.111  0.889  0.491
Cs  0.215  0.785  0.750
Se  0.111  0.889  0.009